Entry 1:
BeHg2P after structural relaxation. Source: Alexandria, functional GGA-PBEsol.

Cell: 4.582 4.582 3.690 Å, 90.00 90.00 110.44°
Element x y z (fractional)
Be 0.000 0.000 0.000
Hg 0.000 0.500 0.500
Hg 0.500 0.000 0.500
P 0.500 0.500 0.000

E_form (eV per atom): 0.60
Symmetry: Cmmm (65)

=====

Entry 2:
K2CdMo after structural relaxation. Source: Alexandria, functional GGA-PBEsol.

Cell: 2.875 2.875 11.976 Å, 90.00 90.00 90.00°
Element x y z (fractional)
K 0.000 0.000 0.239
K 0.000 0.000 0.761
Cd 0.500 0.500 0.500
Mo 0.500 0.500 0.000

E_form (eV per atom): 1.05
Symmetry: P4/mmm (123)

=====

Entry 3:
PSe2BrF after structural relaxation. Source: Alexandria, functional GGA-PBEsol.

Cell: 4.243 4.243 5.621 Å, 90.00 90.00 90.00°
Element x y z (fractional)
P 0.000 0.000 0.000
Se 0.000 0.500 0.500
Se 0.500 0.000 0.500
Br 0.500 0.500 0.000
F 0.500 0.500 0.500

Formation energy from raw total energies (eV/atom): 0.624
Symmetry: P4/mmm (123)

=====

Entry 4:
Ca2InGa2 after structural relaxation. Source: Alexandria, functional GGA-PBEsol.

Cell: 7.189 7.189 4.640 Å, 90.00 90.00 90.00°
Element x y z (fractional)
Ca 0.175 0.325 0.000
Ca 0.325 0.825 0.000
Ca 0.675 0.175 0.000
Ca 0.825 0.675 0.000
In 0.000 0.000 0.500
In 0.500 0.500 0.500
Ga 0.125 0.625 0.500
Ga 0.375 0.125 0.500
Ga 0.625 0.875 0.500
Ga 0.875 0.375 0.500

E_form (eV per atom): -0.46
Symmetry: P4/mbm (127)

=====

Entry 5:
MnCrFe after structural relaxation. Source: Alexandria, functional GGA-PBEsol.

Cell: 6.231 6.078 2.401 Å, 82.34 75.21 22.45°
Element x y z (fractional)
Mn 0.000 0.000 0.000
Cr 0.665 0.665 0.335
Fe 0.332 0.332 0.668

E_form (eV per atom): 0.10
Symmetry: Fmm2 (42)

=====

Entry 6:
Sr3BRu after structural relaxation. Source: Alexandria, functional GGA-PBEsol.

Cell: 5.322 5.322 5.322 Å, 90.00 90.00 90.00°
Element x y z (fractional)
Sr 0.000 0.000 0.500
Sr 0.000 0.500 0.000
Sr 0.500 0.000 0.000
B 0.000 0.000 0.000
Ru 0.500 0.500 0.500

E_form (eV per atom): 1.02
Symmetry: Pm-3m (221)

=====

no.,spin magnetization (μB/atom)
1,0.000
2,0.027
3,0.000
4,0.000
5,0.895
6,0.256